(1)
A relaxed structure of Ba9Pd4Au2, computed with GGA-PBE.

```
Ba9Pd4Au2
1.0
6.950 -4.013 0.000
6.950 4.013 0.000
-0.008 0.000 22.878
Ba Pd Au
18 8 4
Cartesian
6.849 2.781 1.872 Ba
4.589 1.476 13.310 Ba
4.485 1.302 21.006 Ba
7.047 2.781 9.567 Ba
4.628 1.341 5.719 Ba
6.944 2.678 17.158 Ba
4.489 -1.302 9.567 Ba
9.299 1.476 21.006 Ba
4.624 -1.341 17.157 Ba
9.268 1.341 5.720 Ba
4.593 -1.476 1.871 Ba
9.402 1.302 13.311 Ba
6.948 -2.678 5.719 Ba
9.264 -1.341 17.159 Ba
6.845 -2.781 13.311 Ba
9.407 -1.302 1.872 Ba
9.303 -1.476 9.567 Ba
7.043 -2.781 21.006 Ba
2.314 0.002 7.536 Pd
2.310 -0.002 18.975 Pd
2.317 0.000 0.119 Pd
2.313 0.000 11.558 Pd
11.579 0.000 11.319 Pd
11.575 0.000 22.758 Pd
11.582 0.002 3.903 Pd
11.578 -0.002 15.341 Pd
6.949 0.001 3.727 Au
6.947 0.001 7.712 Au
6.944 -0.001 15.166 Au
6.943 -0.001 19.151 Au
```

Computed properties:
**Volume**: 638.1 Å³/f.u.
**E_form**: -47 kJ/mol of atoms


(2)
A relaxed structure of BaPd2Au4, computed with GGA-PBE.

```
BaPd2Au4
1.0
4.549 -3.599 0.000
4.549 3.599 0.000
-3.411 0.000 4.412
Ba Pd Au
1 2 4
Cartesian
0.000 0.000 0.000 Ba
3.698 0.000 1.103 Pd
1.990 0.000 3.309 Pd
3.955 -2.191 3.069 Au
1.733 2.191 1.343 Au
3.955 2.191 3.069 Au
1.733 -2.191 1.343 Au
```

Computed properties:
**Excess energy over the best structure of this formula in the dataset**: 0.0 kJ per mole of atoms
**Volume**: 144.5 Å³/f.u.
**E_form**: -36 kJ/mol of atoms


(3)
A relaxed structure of Ba6PdAu, computed with GGA-PBE.

```
Ba6PdAu
1.0
3.985 2.301 7.635
-3.985 2.301 7.635
0.000 -4.601 7.635
Ba Pd Au
6 1 1
Cartesian
-1.282 -2.342 9.507 Ba
-2.669 -0.061 13.399 Ba
-1.388 2.281 9.507 Ba
1.388 -2.281 13.399 Ba
2.669 0.061 9.507 Ba
1.282 2.342 13.399 Ba
0.000 0.000 0.000 Pd
0.000 0.000 11.453 Au
```

Computed properties:
**Excess energy over the best structure of this formula in the dataset**: 0.4 kJ per mole of atoms
**Volume**: 420.0 Å³/f.u.
**E_form**: -35 kJ/mol of atoms


(4)
A relaxed structure of Ba6PdAu5, computed with GGA-PBE.

```
Ba6PdAu5
1.0
4.094 -7.100 0.000
4.094 7.100 0.000
-2.736 0.000 7.738
Ba Pd Au
6 1 5
Cartesian
-0.044 2.299 5.756 Ba
1.287 0.000 1.963 Ba
-0.044 -2.299 5.756 Ba
5.496 2.299 1.982 Ba
4.166 0.000 5.775 Ba
5.496 -2.299 1.982 Ba
-1.368 0.000 3.869 Pd
4.094 4.680 0.000 Au
2.726 2.365 3.869 Au
4.094 0.000 0.000 Au
2.726 -2.365 3.869 Au
4.094 -4.680 0.000 Au
```

Computed properties:
**Volume**: 449.9 Å³/f.u.
**E_form**: -62 kJ/mol of atoms


(5)
A relaxed structure of Ba12Pd2Au5, computed with GGA-PBE.

```
Ba12Pd2Au5
1.0
8.610 -4.575 0.000
8.610 4.575 0.000
-3.318 0.000 11.013
Ba Pd Au
12 2 5
Cartesian
-0.424 0.000 3.641 Ba
4.275 2.331 3.863 Ba
3.065 2.270 10.884 Ba
10.838 2.270 0.129 Ba
9.627 2.331 7.149 Ba
5.441 0.000 7.380 Ba
8.462 0.000 3.633 Ba
4.275 -2.331 3.863 Ba
3.065 -2.270 10.884 Ba
10.838 -2.270 0.129 Ba
9.627 -2.331 7.149 Ba
14.326 0.000 7.372 Ba
6.951 2.251 5.506 Pd
6.951 -2.251 5.506 Pd
0.770 0.000 9.638 Au
2.559 0.000 5.349 Au
8.610 0.000 0.000 Au
11.343 0.000 5.663 Au
13.133 0.000 1.374 Au
```

Computed properties:
**Volume**: 867.7 Å³/f.u.
**E_form**: -47 kJ/mol of atoms


(6)
A relaxed structure of Ba2PdAu7, computed with GGA-PBE.

```
Ba2PdAu7
1.0
4.421 0.000 0.000
0.000 4.421 0.000
0.000 0.000 12.431
Ba Pd Au
2 1 7
Cartesian
0.000 2.211 3.040 Ba
2.211 0.000 9.391 Ba
2.211 2.211 0.000 Pd
0.000 0.000 0.000 Au
0.000 0.000 6.215 Au
0.000 2.211 7.995 Au
0.000 2.211 10.700 Au
2.211 0.000 1.731 Au
2.211 0.000 4.435 Au
2.211 2.211 6.215 Au
```

Computed properties:
**Volume**: 243.0 Å³/f.u.
**E_form**: -43 kJ/mol of atoms


(7)
A relaxed structure of BaPd5Au7, computed with GGA-PBE.

```
BaPd5Au7
1.0
-2.783 4.715 4.716
2.783 -4.715 4.716
2.783 4.715 -4.716
Ba Pd Au
1 5 7
Cartesian
0.000 0.000 0.000 Ba
2.783 0.000 2.180 Pd
1.392 2.351 2.339 Pd
4.175 2.351 2.339 Pd
-1.392 2.364 7.055 Pd
1.392 2.364 7.055 Pd
2.783 2.099 -0.008 Au
0.000 0.000 3.230 Au
2.783 -1.427 4.682 Au
2.783 1.427 4.682 Au
0.000 0.000 6.149 Au
0.000 4.715 2.574 Au
0.000 2.616 4.708 Au
```

Computed properties:
**Volume**: 247.6 Å³/f.u.
**E_form**: -22 kJ/mol of atoms


(8)
A relaxed structure of Ba12Pd5Au3, computed with GGA-PBE.

```
Ba12Pd5Au3
1.0
-9.589 9.589 9.589
9.589 -9.589 9.589
9.589 9.589 -9.589
Ba Pd Au
48 20 12
Cartesian
2.893 -0.482 1.224 Ba
11.491 6.019 -5.277 Ba
9.108 -1.224 2.893 Ba
14.866 -1.902 3.570 Ba
12.483 0.482 1.224 Ba
11.491 -3.570 5.277 Ba
1.224 2.893 -0.482 Ba
13.160 4.313 -1.902 Ba
6.019 5.277 -1.902 Ba
8.365 2.893 0.482 Ba
-0.482 1.224 2.893 Ba
5.277 -1.902 6.019 Ba
9.108 8.365 -2.893 Ba
5.277 1.902 3.570 Ba
8.365 -2.893 9.108 Ba
6.019 -5.277 11.491 Ba
3.570 5.277 1.902 Ba
10.814 6.696 0.482 Ba
2.893 9.108 -1.224 Ba
11.491 3.570 4.313 Ba
5.277 11.491 -3.570 Ba
9.108 1.224 6.696 Ba
1.902 3.570 5.277 Ba
2.893 0.482 8.365 Ba
6.696 9.108 1.224 Ba
7.688 6.019 4.313 Ba
0.482 8.365 2.893 Ba
4.313 -1.902 13.160 Ba
-1.902 6.019 5.277 Ba
6.696 0.482 10.814 Ba
-1.224 2.893 9.108 Ba
6.019 4.313 7.688 Ba
3.570 14.866 -1.902 Ba
1.224 12.483 0.482 Ba
4.313 7.688 6.019 Ba
0.482 1.224 12.483 Ba
4.313 11.491 3.570 Ba
10.071 8.365 6.696 Ba
1.224 6.696 9.108 Ba
3.570 4.313 11.491 Ba
-3.570 5.277 11.491 Ba
8.365 6.696 10.071 Ba
-1.902 13.160 4.313 Ba
-2.893 9.108 8.365 Ba
-5.277 11.491 6.019 Ba
0.482 10.814 6.696 Ba
-1.902 3.570 14.866 Ba
6.696 10.071 8.365 Ba
0.000 0.000 0.000 Pd
4.795 4.795 -4.795 Pd
4.795 -4.795 4.795 Pd
9.589 0.000 0.000 Pd
14.384 2.397 0.000 Pd
9.589 -4.795 7.192 Pd
7.192 9.589 -4.795 Pd
7.192 0.000 4.795 Pd
4.795 7.192 0.000 Pd
9.589 4.795 2.397 Pd
-4.795 4.795 4.795 Pd
0.000 9.589 0.000 Pd
0.000 0.000 9.589 Pd
4.795 4.795 4.795 Pd
0.000 4.795 7.192 Pd
4.795 2.397 9.589 Pd
2.397 9.589 4.795 Pd
2.397 0.000 14.384 Pd
0.000 14.384 2.397 Pd
-4.795 7.192 9.589 Pd
4.795 2.397 0.000 Au
9.589 4.795 -2.397 Au
2.397 0.000 4.795 Au
11.987 0.000 4.795 Au
0.000 4.795 2.397 Au
4.795 -2.397 9.589 Au
4.795 11.987 0.000 Au
9.589 4.795 7.192 Au
-2.397 9.589 4.795 Au
7.192 9.589 4.795 Au
0.000 4.795 11.987 Au
4.795 7.192 9.589 Au
```

Computed properties:
**Volume**: 881.8 Å³/f.u.
**E_form**: -33 kJ/mol of atoms


(9)
A relaxed structure of BaPdAu2, computed with GGA-PBE.

```
BaPdAu2
1.0
2.362 1.364 5.448
-2.362 1.364 5.448
0.000 -2.727 5.448
Ba Pd Au
1 1 2
Cartesian
0.000 0.000 0.000 Ba
0.000 0.000 8.172 Pd
0.000 0.000 3.248 Au
0.000 0.000 13.096 Au
```

Computed properties:
**Excess energy over the best structure of this formula in the dataset**: 0.4 kJ per mole of atoms
**Volume**: 105.3 Å³/f.u.
**E_form**: -50 kJ/mol of atoms


(10)
A relaxed structure of Ba3Pd7Au2, computed with GGA-PBE.

```
Ba3Pd7Au2
1.0
2.863 1.653 9.176
-2.863 1.653 9.176
0.000 -3.306 9.176
Ba Pd Au
3 7 2
Cartesian
0.000 0.000 0.000 Ba
0.000 0.000 3.838 Ba
0.000 0.000 23.689 Ba
-1.427 -0.824 11.454 Pd
0.000 -1.648 16.074 Pd
-1.427 0.824 16.074 Pd
0.000 0.000 13.764 Pd
1.427 -0.824 11.453 Pd
0.000 1.648 11.453 Pd
1.427 0.824 16.074 Pd
0.000 0.000 9.154 Au
0.000 0.000 18.374 Au
```

Computed properties:
**Volume**: 260.5 Å³/f.u.
**E_form**: -51 kJ/mol of atoms


(11)
A relaxed structure of Ba4PdAu, computed with GGA-PBE.

```
Ba4PdAu
1.0
4.770 -9.204 0.000
4.770 9.204 0.000
-4.742 0.000 6.550
Ba Pd Au
8 2 2
Cartesian
1.122 3.425 1.620 Ba
-1.212 0.991 4.860 Ba
1.158 -0.991 1.585 Ba
-1.249 -3.425 4.895 Ba
6.048 3.425 1.655 Ba
3.641 0.991 4.966 Ba
6.011 -0.991 1.691 Ba
3.677 -3.425 4.930 Ba
1.214 7.911 4.913 Pd
3.585 -7.911 1.638 Pd
3.585 1.309 1.638 Au
1.214 -1.309 4.913 Au
```

Computed properties:
**Excess energy over the best structure of this formula in the dataset**: 0.0 kJ per mole of atoms
**Volume**: 287.6 Å³/f.u.
**E_form**: -43 kJ/mol of atoms


(12)
A relaxed structure of Ba3Pd4Au2, computed with GGA-PBE.

```
Ba3Pd4Au2
1.0
4.669 0.000 0.000
-2.335 4.044 0.000
0.000 0.000 26.420
Ba Pd Au
6 8 4
Cartesian
0.000 0.000 0.000 Ba
0.000 0.000 4.268 Ba
0.000 0.000 8.766 Ba
0.000 0.000 13.072 Ba
0.000 0.000 17.567 Ba
0.000 0.000 21.834 Ba
0.000 2.696 2.105 Pd
0.000 2.696 6.516 Pd
0.000 2.696 10.918 Pd
0.000 2.696 15.321 Pd
0.000 2.696 19.731 Pd
2.335 1.348 2.104 Pd
2.335 1.348 10.918 Pd
2.335 1.348 19.731 Pd
0.000 2.696 24.117 Au
2.335 1.348 6.516 Au
2.335 1.348 15.319 Au
2.335 1.348 24.139 Au
```

Computed properties:
**Volume**: 249.4 Å³/f.u.
**E_form**: -53 kJ/mol of atoms